# 1
A geometry-optimized CsPmInTe3 structure. Source: the Alexandria database, functional PBE.

Cell and atoms, written as POSCAR:
```
CsPmInTe3
1.0
-2.0752 -3.1261 -2.7801
6.5745 -7.1553 3.1384
-8.9536 -0.4448 7.1835
Cs Pm In Te
2 2 2 6
direct
0.2500 0.2053 0.2448
0.7500 0.7947 0.7552
0.2500 0.6585 0.1228
0.7500 0.3415 0.8772
0.2500 0.0697 0.6254
0.7500 0.9303 0.3746
0.7500 0.8703 0.1117
0.2500 0.1297 0.8883
0.2500 0.7736 0.4245
0.7500 0.2264 0.5755
0.7500 0.4622 0.1580
0.2500 0.5378 0.8420
```

Properties
Space group ... No. 11

=====

# 2
A geometry-optimized Cs4Pr3InS8 structure. Source: the Alexandria database, functional PBE.

Cell and atoms, written as POSCAR:
```
Cs4Pr3InS8
1.0
-0.8613 3.5671 7.6018
4.8715 -7.1125 3.8894
3.8218 4.2204 -6.2340
Cs Pr In S
4 3 1 8
direct
0.5000 0.0000 0.0000
0.5000 0.0000 0.5000
0.0000 0.0000 0.0000
0.0000 0.0000 0.5000
0.5000 0.5000 0.0000
0.5000 0.5000 0.5000
0.0000 0.5000 0.5000
0.0000 0.5000 0.0000
0.2217 0.6846 0.9630
0.2221 0.6849 0.4441
0.2704 0.3111 0.5408
0.7413 0.6846 0.9630
0.2587 0.3154 0.0370
0.7296 0.6889 0.4592
0.7779 0.3151 0.5559
0.7783 0.3154 0.0370
```

Properties
Space group ... No. 166

=====

# 3
A geometry-optimized Cs2PrInS4 structure. Source: the Alexandria database, functional PBE.

Cell and atoms, written as POSCAR:
```
Cs2PrInS4
1.0
8.8155 -0.0489 -0.1282
-0.0551 8.8155 -0.1282
-4.3841 -4.3872 6.3267
Cs Pr In S
4 2 2 8
direct
0.5000 0.0000 0.0000
0.5000 0.0000 0.5000
0.0000 0.0000 0.5000
0.5000 0.5000 0.0000
0.0000 0.5000 0.0000
0.0000 0.5000 0.5000
0.5000 0.5000 0.5000
0.0000 0.0000 0.0000
0.1895 0.7370 0.9632
0.7630 0.3105 0.5368
0.2370 0.6895 0.4632
0.8105 0.2630 0.0368
0.7658 0.7342 0.9485
0.7658 0.7342 0.5515
0.2342 0.2658 0.4485
0.2342 0.2658 0.0515
```

Properties
Space group ... No. 74

=====

Number 1: E_form (uncorrected) -0.9688 eV per atom, magnetic moment 0.0000 μB/atom. Number 2: E_form (uncorrected) -1.5270 eV per atom, magnetic moment 0.0000 μB/atom. Number 3: E_form (uncorrected) -1.1804 eV per atom, magnetic moment 0.0000 μB/atom.